P) A relaxed structure of NaCuRe2, computed with GGA-PBE.

Properties
V, Å³ per cell: 379.0
Size of the total moment, μB per cell: 0.00

CIF file:
```
data_NaCuRe2
_chemical_formula_sum 'Na4 Cu4 Re8'
_space_group_name_H-M_alt 'I -4 2 d'
_space_group_IT_number 122
_space_group_name_Hall 'I -4 2bw'
_cell_length_a 4.579
_cell_length_b 4.579
_cell_length_c 18.080
_cell_angle_alpha 90.00
_cell_angle_beta 90.00
_cell_angle_gamma 90.00
loop_
_atom_site_label
_atom_site_fract_x
_atom_site_fract_y
_atom_site_fract_z
_atom_site_occupancy
Na1 0.000 0.000 0.000 1
Cu1 0.000 0.000 0.500 1
Re1 0.039 0.750 0.625 1
```



Q) A relaxed structure of NaCuRe2, computed with GGA-PBE.

Properties
V, Å³ per cell: 233.9
Size of the total moment, μB per cell: 4.65

CIF file:
```
data_NaCuRe2
_chemical_formula_sum 'Na4 Cu4 Re8'
_space_group_name_H-M_alt 'F m -3 m'
_space_group_IT_number 225
_space_group_name_Hall '-F 4 2 3'
_cell_length_a 6.161
_cell_length_b 6.161
_cell_length_c 6.161
_cell_angle_alpha 90.00
_cell_angle_beta 90.00
_cell_angle_gamma 90.00
loop_
_atom_site_label
_atom_site_fract_x
_atom_site_fract_y
_atom_site_fract_z
_atom_site_occupancy
Na1 0.000 0.000 0.000 1
Cu1 0.000 0.000 0.500 1
Re1 0.250 0.250 0.250 1
```



Which of them is the most stable, and which is the least stable? Q) and P), in that order.



P) A relaxed structure of NaCu2ReSe, computed with GGA-PBE.

Properties
V, Å³ per cell: 99.0
Size of the total moment, μB per cell: 3.20

CIF file:
```
data_NaCu2ReSe
_chemical_formula_sum 'Na1 Cu2 Re1 Se1'
_space_group_name_H-M_alt 'P 4/m m m'
_space_group_IT_number 123
_space_group_name_Hall '-P 4 2'
_cell_length_a 4.413
_cell_length_b 4.413
_cell_length_c 5.084
_cell_angle_alpha 90.00
_cell_angle_beta 90.00
_cell_angle_gamma 90.00
loop_
_atom_site_label
_atom_site_fract_x
_atom_site_fract_y
_atom_site_fract_z
_atom_site_occupancy
Na1 0.000 0.000 0.000 1
Cu1 0.000 0.500 0.000 1
Re1 0.000 0.000 0.500 1
Se1 0.500 0.500 0.500 1
```



Q) A relaxed structure of NaCu2ReSe, computed with GGA-PBE.

Properties
V, Å³ per cell: 110.5
Size of the total moment, μB per cell: 0.00

CIF file:
```
data_NaCu2ReSe
_chemical_formula_sum 'Na1 Cu2 Re1 Se1'
_space_group_name_H-M_alt 'P 4/m m m'
_space_group_IT_number 123
_space_group_name_Hall '-P 4 2'
_cell_length_a 4.872
_cell_length_b 4.872
_cell_length_c 4.656
_cell_angle_alpha 90.00
_cell_angle_beta 90.00
_cell_angle_gamma 90.00
loop_
_atom_site_label
_atom_site_fract_x
_atom_site_fract_y
_atom_site_fract_z
_atom_site_occupancy
Na1 0.000 0.000 0.000 1
Cu1 0.000 0.500 0.500 1
Re1 0.500 0.500 0.500 1
Se1 0.500 0.500 0.000 1
```



Which of them is the most stable, and which is the least stable? Q) and P), in that order.



P) A relaxed structure of Na2Cu2Rh, computed with GGA-PBE.

Properties
V, Å³ per cell: 166.7
Size of the total moment, μB per cell: 1.15

CIF file:
```
data_Na2Cu2Rh
_chemical_formula_sum 'Na4 Cu4 Rh2'
_space_group_name_H-M_alt 'P 4/m b m'
_space_group_IT_number 127
_space_group_name_Hall '-P 4 2ab'
_cell_length_a 7.919
_cell_length_b 7.919
_cell_length_c 2.658
_cell_angle_alpha 90.00
_cell_angle_beta 90.00
_cell_angle_gamma 90.00
loop_
_atom_site_label
_atom_site_fract_x
_atom_site_fract_y
_atom_site_fract_z
_atom_site_occupancy
Na1 0.129 0.371 0.000 1
Cu1 0.175 0.675 0.500 1
Rh1 0.000 0.000 0.000 1
```



Q) A relaxed structure of Na2Cu2Rh, computed with GGA-PBE.

Properties
V, Å³ per cell: 194.3
Size of the total moment, μB per cell: 1.56

CIF file:
```
data_Na2Cu2Rh
_chemical_formula_sum 'Na4 Cu4 Rh2'
_space_group_name_H-M_alt 'I 4/m m m'
_space_group_IT_number 139
_space_group_name_Hall '-I 4 2'
_cell_length_a 3.242
_cell_length_b 3.242
_cell_length_c 18.492
_cell_angle_alpha 90.00
_cell_angle_beta 90.00
_cell_angle_gamma 90.00
loop_
_atom_site_label
_atom_site_fract_x
_atom_site_fract_y
_atom_site_fract_z
_atom_site_occupancy
Na1 0.000 0.000 0.107 1
Cu1 0.000 0.500 0.250 1
Rh1 0.000 0.000 0.500 1
```



Which of them is the most stable, and which is the least stable? Q) and P), in that order.



P) A relaxed structure of NaCuRu2, computed with GGA-PBE.

Properties
V, Å³ per cell: 257.2
Size of the total moment, μB per cell: 0.00

CIF file:
```
data_NaCuRu2
_chemical_formula_sum 'Na4 Cu4 Ru8'
_space_group_name_H-M_alt 'I -4 2 d'
_space_group_IT_number 122
_space_group_name_Hall 'I -4 2bw'
_cell_length_a 3.627
_cell_length_b 3.627
_cell_length_c 19.559
_cell_angle_alpha 90.00
_cell_angle_beta 90.00
_cell_angle_gamma 90.00
loop_
_atom_site_label
_atom_site_fract_x
_atom_site_fract_y
_atom_site_fract_z
_atom_site_occupancy
Na1 0.000 0.000 0.000 1
Cu1 0.000 0.000 0.500 1
Ru1 0.228 0.250 0.625 1
```



Q) A relaxed structure of NaCuRu2, computed with GGA-PBE.

Properties
V, Å³ per cell: 237.3
Size of the total moment, μB per cell: 13.19

CIF file:
```
data_NaCuRu2
_chemical_formula_sum 'Na4 Cu4 Ru8'
_space_group_name_H-M_alt 'F m -3 m'
_space_group_IT_number 225
_space_group_name_Hall '-F 4 2 3'
_cell_length_a 6.191
_cell_length_b 6.191
_cell_length_c 6.191
_cell_angle_alpha 90.00
_cell_angle_beta 90.00
_cell_angle_gamma 90.00
loop_
_atom_site_label
_atom_site_fract_x
_atom_site_fract_y
_atom_site_fract_z
_atom_site_occupancy
Na1 0.000 0.000 0.000 1
Cu1 0.000 0.000 0.500 1
Ru1 0.250 0.250 0.250 1
```



Which of them is the most stable, and which is the least stable? P) and Q), in that order.



P) A relaxed structure of NaCu2Ru, computed with GGA-PBE.

Properties
V, Å³ per cell: 258.9
Size of the total moment, μB per cell: 4.68

CIF file:
```
data_NaCu2Ru
_chemical_formula_sum 'Na4 Cu8 Ru4'
_space_group_name_H-M_alt 'I -4 2 d'
_space_group_IT_number 122
_space_group_name_Hall 'I -4 2bw'
_cell_length_a 3.816
_cell_length_b 3.816
_cell_length_c 17.778
_cell_angle_alpha 90.00
_cell_angle_beta 90.00
_cell_angle_gamma 90.00
loop_
_atom_site_label
_atom_site_fract_x
_atom_site_fract_y
_atom_site_fract_z
_atom_site_occupancy
Na1 0.000 0.000 0.000 1
Cu1 0.218 0.250 0.625 1
Ru1 0.000 0.000 0.500 1
```



Q) A relaxed structure of NaCu2Ru, computed with GGA-PBE.

Properties
V, Å³ per cell: 234.3
Size of the total moment, μB per cell: 4.11

CIF file:
```
data_NaCu2Ru
_chemical_formula_sum 'Na4 Cu8 Ru4'
_space_group_name_H-M_alt 'F m -3 m'
_space_group_IT_number 225
_space_group_name_Hall '-F 4 2 3'
_cell_length_a 6.165
_cell_length_b 6.165
_cell_length_c 6.165
_cell_angle_alpha 90.00
_cell_angle_beta 90.00
_cell_angle_gamma 90.00
loop_
_atom_site_label
_atom_site_fract_x
_atom_site_fract_y
_atom_site_fract_z
_atom_site_occupancy
Na1 0.000 0.000 0.000 1
Cu1 0.250 0.250 0.250 1
Ru1 0.000 0.000 0.500 1
```



Which of them is the most stable, and which is the least stable? Q) and P), in that order.



P) A relaxed structure of Na3CuRu, computed with GGA-PBE.

Properties
V, Å³ per cell: 175.4
Size of the total moment, μB per cell: 2.00

CIF file:
```
data_Na3CuRu
_chemical_formula_sum 'Na3 Cu1 Ru1'
_space_group_name_H-M_alt 'P m -3 m'
_space_group_IT_number 221
_space_group_name_Hall '-P 4 2 3'
_cell_length_a 5.598
_cell_length_b 5.598
_cell_length_c 5.598
_cell_angle_alpha 90.00
_cell_angle_beta 90.00
_cell_angle_gamma 90.00
loop_
_atom_site_label
_atom_site_fract_x
_atom_site_fract_y
_atom_site_fract_z
_atom_site_occupancy
Na1 0.000 0.000 0.500 1
Cu1 0.500 0.500 0.500 1
Ru1 0.000 0.000 0.000 1
```



Q) A relaxed structure of Na3CuRu, computed with GGA-PBE.

Properties
V, Å³ per cell: 143.6
Size of the total moment, μB per cell: 2.08

CIF file:
```
data_Na3CuRu
_chemical_formula_sum 'Na3 Cu1 Ru1'
_space_group_name_H-M_alt 'P m -3 m'
_space_group_IT_number 221
_space_group_name_Hall '-P 4 2 3'
_cell_length_a 5.236
_cell_length_b 5.236
_cell_length_c 5.236
_cell_angle_alpha 90.00
_cell_angle_beta 90.00
_cell_angle_gamma 90.00
loop_
_atom_site_label
_atom_site_fract_x
_atom_site_fract_y
_atom_site_fract_z
_atom_site_occupancy
Na1 0.000 0.000 0.500 1
Cu1 0.000 0.000 0.000 1
Ru1 0.500 0.500 0.500 1
```



Which of them is the most stable, and which is the least stable? Q) and P), in that order.



P) A relaxed structure of Na3Cu4S4, computed with GGA-PBE.

Properties
V, Å³ per cell: 397.9
Size of the total moment, μB per cell: 0.00

CIF file:
```
data_Na3Cu4S4
_chemical_formula_sum 'Na6 Cu8 S8'
_space_group_name_H-M_alt 'I m m m'
_space_group_IT_number 71
_space_group_name_Hall '-I 2 2'
_cell_length_a 3.905
_cell_length_b 4.024
_cell_length_c 25.323
_cell_angle_alpha 90.00
_cell_angle_beta 90.00
_cell_angle_gamma 90.00
loop_
_atom_site_label
_atom_site_fract_x
_atom_site_fract_y
_atom_site_fract_z
_atom_site_occupancy
Na1 0.000 0.000 0.000 1
Na2 0.000 0.500 0.353 1
Cu1 0.000 0.000 0.253 1
Cu2 0.000 0.500 0.106 1
S1 0.000 0.000 0.434 1
S2 0.000 0.500 0.196 1
```



Q) A relaxed structure of Na3Cu4S4, computed with GGA-PBE.

Properties
V, Å³ per cell: 381.5
Size of the total moment, μB per cell: 0.00

CIF file:
```
data_Na3Cu4S4
_chemical_formula_sum 'Na6 Cu8 S8'
_space_group_name_H-M_alt 'A m m 2'
_space_group_IT_number 38
_space_group_name_Hall 'A 2 -2'
_cell_length_a 7.950
_cell_length_b 3.759
_cell_length_c 12.765
_cell_angle_alpha 90.00
_cell_angle_beta 90.00
_cell_angle_gamma 90.00
loop_
_atom_site_label
_atom_site_fract_x
_atom_site_fract_y
_atom_site_fract_z
_atom_site_occupancy
Na1 0.000 0.000 0.000 1
Na2 0.297 0.000 0.123 1
Cu1 0.000 0.000 0.315 1
Cu2 0.247 0.000 0.822 1
Cu3 0.500 0.000 0.345 1
S1 0.000 0.000 0.705 1
S2 0.244 0.000 0.436 1
S3 0.500 0.000 0.724 1
```



R) A relaxed structure of Na3Cu4S4, computed with GGA-PBE.

Properties
V, Å³ per cell: 397.0
Size of the total moment, μB per cell: 0.00

CIF file:
```
data_Na3Cu4S4
_chemical_formula_sum 'Na6 Cu8 S8'
_space_group_name_H-M_alt 'P b a m'
_space_group_IT_number 55
_space_group_name_Hall '-P 2 2ab'
_cell_length_a 7.352
_cell_length_b 14.520
_cell_length_c 3.719
_cell_angle_alpha 90.00
_cell_angle_beta 90.00
_cell_angle_gamma 90.00
loop_
_atom_site_label
_atom_site_fract_x
_atom_site_fract_y
_atom_site_fract_z
_atom_site_occupancy
Na1 0.000 0.000 0.000 1
Na2 0.036 0.238 0.500 1
Cu1 0.089 0.415 0.000 1
Cu2 0.166 0.555 0.500 1
S1 0.201 0.648 0.000 1
S2 0.234 0.905 0.500 1
```



Which of them is the most stable, and which is the least stable? R) and Q), in that order.



P) A relaxed structure of NaCuS3, computed with GGA-PBE.

Properties
V, Å³ per cell: 111.8
Size of the total moment, μB per cell: 0.00

CIF file:
```
data_NaCuS3
_chemical_formula_sum 'Na1 Cu1 S3'
_space_group_name_H-M_alt 'P m -3 m'
_space_group_IT_number 221
_space_group_name_Hall '-P 4 2 3'
_cell_length_a 4.818
_cell_length_b 4.818
_cell_length_c 4.818
_cell_angle_alpha 90.00
_cell_angle_beta 90.00
_cell_angle_gamma 90.00
loop_
_atom_site_label
_atom_site_fract_x
_atom_site_fract_y
_atom_site_fract_z
_atom_site_occupancy
Na1 0.000 0.000 0.000 1
Cu1 0.500 0.500 0.500 1
S1 0.000 0.000 0.500 1
```



Q) A relaxed structure of NaCuS3, computed with GGA-PBE.

Properties
V, Å³ per cell: 97.1
Size of the total moment, μB per cell: 0.00

CIF file:
```
data_NaCuS3
_chemical_formula_sum 'Na1 Cu1 S3'
_space_group_name_H-M_alt 'P m -3 m'
_space_group_IT_number 221
_space_group_name_Hall '-P 4 2 3'
_cell_length_a 4.596
_cell_length_b 4.596
_cell_length_c 4.596
_cell_angle_alpha 90.00
_cell_angle_beta 90.00
_cell_angle_gamma 90.00
loop_
_atom_site_label
_atom_site_fract_x
_atom_site_fract_y
_atom_site_fract_z
_atom_site_occupancy
Na1 0.000 0.000 0.000 1
Cu1 0.500 0.500 0.500 1
S1 0.000 0.500 0.500 1
```



Which of them is the most stable, and which is the least stable? Q) and P), in that order.